Entry 1:
## Pr4NdSm2Ho2 (PBE-GGA)

Data for a relaxed structure of Pr4NdSm2Ho2.

calculated density	7.19	g cm⁻³
calculated formation energy	0.018	eV per atom

```
data_Pr4NdSm2Ho2
_chemical_formula_sum 'Pr8 Nd2 Sm4 Ho4'
_cell_length_a 15.5001
_cell_length_b 5.1641
_cell_length_c 8.1452
_cell_angle_alpha 90.00
_cell_angle_beta 108.45
_cell_angle_gamma 90.00
_space_group_name_H-M_alt 'C 1 2/m 1'
_space_group_IT_number 12
loop_
_space_group_symop_operation_xyz
'x,y,z'
'-x,-y,-z'
'-x,y,-z'
'x,-y,z'
'x+1/2,y+1/2,z'
'-x+1/2,-y+1/2,-z'
'-x+1/2,y+1/2,-z'
'x+1/2,-y+1/2,z'
loop_
_atom_site_label
_atom_site_type_symbol
_atom_site_fract_x
_atom_site_fract_y
_atom_site_fract_z
Pr1 Pr 0.0545 0.0000 0.3313
Pr2 Pr 0.2227 0.5000 0.3300
Nd1 Nd 0.0000 0.5000 0.0000
Sm1 Sm 0.1117 0.5000 0.6691
Ho1 Ho 0.1681 0.0000 0.9992
```

---

Entry 2:
## Ce2CdPt9 (PBE-GGA)

Data for a relaxed structure of Ce2CdPt9.

calculated density	16.89	g cm⁻³
calculated formation energy	-0.737	eV per atom
ΔE to the lowest computed polymorph	0.000	eV per atom

```
data_Ce2CdPt9
_chemical_formula_sum 'Ce2 Cd1 Pt9'
_cell_length_a 4.1406
_cell_length_b 4.1406
_cell_length_c 12.3180
_cell_angle_alpha 90.00
_cell_angle_beta 90.00
_cell_angle_gamma 90.00
_space_group_name_H-M_alt 'P 4/m m m'
_space_group_IT_number 123
_space_group_name_Hall '-P 4 2'
loop_
_atom_site_label
_atom_site_type_symbol
_atom_site_fract_x
_atom_site_fract_y
_atom_site_fract_z
Ce1 Ce 0.0000 0.0000 0.1724
Cd1 Cd 0.0000 0.0000 0.5000
Pt1 Pt 0.0000 0.5000 0.0000
Pt2 Pt 0.0000 0.5000 0.3367
Pt3 Pt 0.5000 0.5000 0.1693
Pt4 Pt 0.5000 0.5000 0.5000
```

---

Entry 3:
## Na2LiSiSe4 (PBE-GGA)

Data for a relaxed structure of Na2LiSiSe4.

calculated density	3.55	g cm⁻³
E_form (uncorrected)	-0.7929	eV per atom

```
data_Na2LiSiSe4
_chemical_formula_sum 'Na4 Li2 Si2 Se8'
_cell_length_a 7.3771
_cell_length_b 7.3771
_cell_length_c 6.8299
_cell_angle_alpha 90.00
_cell_angle_beta 90.00
_cell_angle_gamma 90.00
_space_group_name_H-M_alt 'I -4 2 m'
_space_group_IT_number 121
_space_group_name_Hall 'I -4 2'
loop_
_atom_site_label
_atom_site_type_symbol
_atom_site_fract_x
_atom_site_fract_y
_atom_site_fract_z
Na1 Na 0.0000 0.5000 0.0000
Li1 Li 0.0000 0.0000 0.0000
Si1 Si 0.0000 0.0000 0.5000
Se1 Se 0.1751 0.1751 0.2960
```

---

Entry 4:
## Li2LaW (PBE-GGA)

Data for a relaxed structure of Li2LaW.

calculated density	6.96	g cm⁻³
calculated formation energy	0.604	eV per atom
ΔE to the lowest computed polymorph	0.102	eV per atom

```
data_Li2LaW
_chemical_formula_sum 'Li2 La1 W1'
_cell_length_a 2.8054
_cell_length_b 4.6831
_cell_length_c 6.2677
_cell_angle_alpha 90.00
_cell_angle_beta 102.81
_cell_angle_gamma 90.00
_space_group_name_H-M_alt 'P 1 m 1'
_space_group_IT_number 6
loop_
_space_group_symop_operation_xyz
'x,y,z'
'x,-y,z'
loop_
_atom_site_label
_atom_site_type_symbol
_atom_site_fract_x
_atom_site_fract_y
_atom_site_fract_z
Li1 Li 0.0000 0.0000 0.0000
Li2 Li 0.0641 0.5000 0.2161
La1 La 0.3284 0.5000 0.6883
W1 W 0.6956 0.0000 0.4292
```

---

Entry 5:
## Pu4Ge6Pd5 (PBE-GGA)

Data for a relaxed structure of Pu4Ge6Pd5.

calculated density	10.63	g cm⁻³
calculated formation energy	-0.504	eV per atom

```
data_Pu4Ge6Pd5
_chemical_formula_sum 'Pu16 Ge24 Pd20'
_cell_length_a 4.2381
_cell_length_b 19.1309
_cell_length_c 14.9852
_cell_angle_alpha 90.00
_cell_angle_beta 90.00
_cell_angle_gamma 90.00
_space_group_name_H-M_alt 'C m c 21'
_space_group_IT_number 36
loop_
_space_group_symop_operation_xyz
'x,y,z'
'-x,-y,z+1/2'
'-x,y,z'
'x,-y,z+1/2'
'x+1/2,y+1/2,z'
'-x+1/2,-y+1/2,z+1/2'
'-x+1/2,y+1/2,z'
'x+1/2,-y+1/2,z+1/2'
loop_
_atom_site_label
_atom_site_type_symbol
_atom_site_fract_x
_atom_site_fract_y
_atom_site_fract_z
Pu1 Pu 0.0000 0.0115 0.0000
Pu2 Pu 0.0000 0.0295 0.2690
Pu3 Pu 0.0000 0.1616 0.8063
Pu4 Pu 0.0000 0.1784 0.4358
Ge1 Ge 0.0000 0.1164 0.6154
Ge2 Ge 0.0000 0.2221 0.9878
Ge3 Ge 0.0000 0.2331 0.2545
Ge4 Ge 0.0000 0.4248 0.6290
Ge5 Ge 0.0000 0.4254 0.9037
Ge6 Ge 0.0000 0.4410 0.3596
Pd1 Pd 0.0000 0.1493 0.1259
Pd2 Pd 0.0000 0.3057 0.1182
Pd3 Pd 0.0000 0.3411 0.7657
Pd4 Pd 0.0000 0.3525 0.4862
Pd5 Pd 0.0000 0.4453 0.1764
```

---

Entry 6:
## FeTe2Rh (PBE-GGA)

Data for a relaxed structure of FeTe2Rh.

calculated density	7.09	g cm⁻³
E_form (uncorrected)	0.1433	eV per atom

```
data_FeTe2Rh
_chemical_formula_sum 'Fe4 Te8 Rh4'
_cell_length_a 5.8161
_cell_length_b 5.8161
_cell_length_c 11.4631
_cell_angle_alpha 90.00
_cell_angle_beta 90.00
_cell_angle_gamma 90.00
_space_group_name_H-M_alt 'I -4 2 d'
_space_group_IT_number 122
_space_group_name_Hall 'I -4 2bw'
loop_
_atom_site_label
_atom_site_type_symbol
_atom_site_fract_x
_atom_site_fract_y
_atom_site_fract_z
Fe1 Fe 0.0000 0.0000 0.0000
Te1 Te 0.2301 0.2500 0.1250
Rh1 Rh 0.0000 0.0000 0.5000
```